{"formula": "Cr2FeOs", "functional": "PBE-GGA", "state": "optimized geometry", "lattice": [[-2.573, -3.271, 2.392], [1.183, -4.594, -0.737], [1.626, 4.258, 1.504]], "species": ["Cr", "Cr", "Fe", "Os"], "fractional_positions": [[0.014, 0.014, 0.000], [0.241, 0.741, 0.500], [0.489, 0.489, 0.000], [0.756, 0.256, 0.500]], "total_energy_ev_per_atom": -9.61, "spacegroup": "Imm2", "relative_energy_mev_per_atom": 39, "volume_a3_per_atom": 12.34, "density_g_cm3": 11.8}

---

{"formula": "Cr2FeOs", "functional": "PBE-GGA", "state": "optimized geometry", "lattice": [[-1.752, 3.081, 2.705], [-3.785, 1.495, -1.822], [1.434, -4.144, 0.808]], "species": ["Cr", "Cr", "Fe", "Os"], "fractional_positions": [[0.000, 0.000, 0.000], [0.250, 0.750, 0.500], [0.500, 0.500, 0.000], [0.750, 0.250, 0.500]], "total_energy_ev_per_atom": -9.62, "spacegroup": "I-4m2", "relative_energy_mev_per_atom": 26, "volume_a3_per_atom": 12.28, "density_g_cm3": 11.8}

---

{"formula": "CrFe2Os", "functional": "PBE-GGA", "state": "optimized geometry", "lattice": [[-3.639, -2.147, -1.302], [-2.201, -1.756, -3.409], [1.510, -4.203, 0.252]], "species": ["Cr", "Fe", "Fe", "Os"], "fractional_positions": [[0.254, 0.254, 0.231], [0.997, 0.997, 0.004], [0.749, 0.749, 0.758], [0.500, 0.500, 0.508]], "total_energy_ev_per_atom": -9.32, "spacegroup": "Cm", "volume_a3_per_atom": 12.03, "density_g_cm3": 12.2}

---

{"formula": "CrFe2Os", "functional": "PBE-GGA", "state": "optimized geometry", "lattice": [[-1.735, -4.074, 0.468], [0.841, -4.371, 0.119], [0.526, -0.572, 4.378]], "species": ["Cr", "Fe", "Fe", "Os"], "fractional_positions": [[0.250, 0.250, 0.250], [0.999, 0.999, 0.004], [0.501, 0.501, 0.496], [0.750, 0.750, 0.750]], "total_energy_ev_per_atom": -9.30, "spacegroup": "C2/m", "volume_a3_per_atom": 12.17, "density_g_cm3": 12.1}

---

no.,formation energy from the elements (eV/atom)
1,0.127
2,0.114
3,0.123
4,0.148